Record 1
Here is an optimized crystal structure of Hf4Zr2Tl3N3 from OQMD via LeMat-Bulk. Energies are from PBE-GGA.

Cell and atoms, written as extended XYZ:
```
24
Lattice="-2.6612 -4.8601 1.2969 2.6017 -4.9871 -0.8626 5.6670 3.8558 13.5839" Properties=species:S:1:pos:R:3 pbc="T T T"
Hf -0.0108 -7.3142 1.6290
Hf 0.0028 -0.7628 1.3518
Hf 1.8584 -7.1345 6.2490
Hf 1.9247 -0.5844 5.9501
Hf 3.6827 -5.4071 8.0681
Hf 3.7490 1.1431 7.7693
Hf 5.6046 -5.2287 12.6665
Hf 5.6182 1.3228 12.3892
N -1.3306 -2.4300 0.6485
N -1.3962 -5.7417 0.8133
N 1.3367 -4.1055 -0.3790
N 4.1599 -3.8796 6.4881
N 4.1343 -0.5657 6.3607
N 1.4476 -2.1118 7.5302
Tl 1.8331 -2.3074 3.3429
Tl -0.8369 -3.9060 4.5257
Tl 1.8256 -5.6333 3.5203
Tl 3.7818 -0.3581 10.4980
Tl 6.4444 -2.0855 9.4926
Tl 3.7743 -3.6841 10.6753
Zr 0.0221 -4.0619 1.5240
Zr 1.8875 -3.8366 6.0569
Zr 3.7199 -2.1549 7.9614
Zr 5.5853 -1.9296 12.4942
```

The space group is C2/c (15).


Record 2
Here is an optimized crystal structure of Hf3ZrTl2N2 from OQMD via LeMat-Bulk. Energies are from PBE-GGA.

Cell and atoms, written as extended XYZ:
```
8
Lattice="-1.6097 -2.7750 0.6973 2.5474 0.9294 1.8507 -9.2039 7.5675 8.8688" Properties=species:S:1:pos:R:3 pbc="T T T"
Hf -0.9925 -0.9083 1.8223
Hf -4.0596 1.6134 4.7778
Hf -5.3521 4.4005 5.1573
N 1.1182 -0.2696 1.5082
N -3.4351 3.4741 5.8957
Tl -2.3055 1.8956 2.2215
Tl -7.1072 4.1192 7.7144
Zr -8.4282 6.9297 8.1214
```

The space group is P3m1 (156).


Record 3
Here is an optimized crystal structure of TmHf2N3 from OQMD via LeMat-Bulk. Energies are from PBE-GGA.

Cell and atoms, written as extended XYZ:
```
6
Lattice="-0.6936 2.4382 -2.0249 0.6173 -2.9599 -1.1764 -7.7704 -1.8115 0.4805" Properties=species:S:1:pos:R:3 pbc="T T T"
Hf -1.5192 0.3445 -1.6640
Hf -6.3275 -2.6777 -1.0567
N 0.0000 0.0000 0.0000
N -2.2991 -1.7385 -1.3059
N -5.5476 -0.5946 -1.4148
Tm -3.8852 -0.9057 0.2403
```

The space group is P-3m1 (164).


Record 4
Here is an optimized crystal structure of HfWN3 from OQMD via LeMat-Bulk. Energies are from PBE-GGA.

Cell and atoms, written as extended XYZ:
```
10
Lattice="1.8789 -5.5078 0.0000 1.8789 5.5078 0.0000 0.0000 0.0000 5.5352" Properties=species:S:1:pos:R:3 pbc="T T T"
Hf 1.8789 3.2499 1.3838
Hf 1.8789 -3.2499 4.1514
N 1.8789 -1.6677 0.0536
N 1.8789 5.4067 1.3838
N 1.8789 -1.6677 2.7140
N 1.8789 1.6677 2.8213
N 1.8789 -5.4067 4.1514
N 1.8789 1.6677 5.4816
W 1.8789 0.1943 1.3838
W 1.8789 -0.1943 4.1514
```

The space group is Cmcm (63).


Record 5
Here is an optimized crystal structure of Hf2Zn3W4N3 from OQMD via LeMat-Bulk. Energies are from PBE-GGA.

Cell and atoms, written as extended XYZ:
```
24
Lattice="-3.8897 -3.3012 1.6401 1.0650 -3.7228 3.7047 -2.2918 10.9199 7.7295" Properties=species:S:1:pos:R:3 pbc="T T T"
Hf -1.9525 -1.9092 3.1248
Hf -2.8446 0.4155 5.7404
Hf -2.2719 3.4804 7.3339
Hf -3.1640 5.8051 9.9496
N -1.9448 -1.6506 0.8201
N -0.1306 -3.0938 2.7403
N -1.6815 1.3461 7.3687
N -0.6134 3.5986 5.7171
N -3.4350 2.5498 5.7056
N -4.9859 6.9897 10.3341
W -2.8310 -4.6146 4.6094
W -0.8309 0.1043 1.0591
W -3.8145 -1.6109 7.8692
W -2.0164 3.1251 4.2348
W -3.1000 0.7708 8.8395
W -1.3019 5.5068 5.2051
W -4.2855 3.7916 12.0152
W -2.2855 8.5105 8.4649
Zn -1.8822 -2.5304 6.1681
Zn 0.1868 -0.9668 5.5099
Zn -0.5586 0.8362 3.6789
Zn -4.5578 3.0597 9.3954
Zn -5.3033 4.8627 7.5645
Zn -3.2342 6.4263 6.9063
```

The space group is C2/c (15).


Record 6
Here is an optimized crystal structure of Hf3Zr3W2N12 from OQMD via LeMat-Bulk. Energies are from PBE-GGA.

Cell and atoms, written as extended XYZ:
```
80
Lattice="7.2492 -8.0702 -1.1504 -9.7486 -4.2001 2.5155 -0.7455 5.5778 -9.3453" Properties=species:S:1:pos:R:3 pbc="T T T"
Hf 3.8127 -7.4143 -1.5459
Hf -3.1863 -9.0305 0.1701
Hf 0.6887 -5.2245 -2.1120
Hf -7.8102 -3.2894 -0.2791
Hf -4.5601 -2.5509 -2.2199
Hf -3.0603 -6.1023 -2.3369
Hf -0.1846 -0.5902 -5.6434
Hf 1.3153 -4.1416 -5.7603
Hf 4.5654 -3.4031 -7.7012
Hf -3.9335 -1.4680 -5.8682
Hf -0.0586 2.3380 -8.1503
Hf -7.0576 0.7218 -6.4344
N -6.5841 -6.2868 1.5579
N 0.3019 -1.9926 -0.3044
N 0.4345 -6.2922 -0.4545
N 0.3599 -10.1057 -0.1920
N 2.2292 -8.3424 -0.7824
N -1.4550 -8.0611 0.0480
N -4.7567 -7.8512 0.4784
N -1.8563 -0.5206 -0.6613
N -2.4727 -5.2103 -0.6603
N -4.3332 -3.2154 -0.3601
N 0.3450 0.0188 -2.0087
N 2.4395 -4.2886 -2.2140
N -0.5582 -3.6859 -2.2854
N -6.7209 -4.8720 -0.7897
N 6.0164 -5.7319 -4.0310
N 3.5441 -6.7403 -3.3967
N -2.6708 -2.1643 -2.7024
N -4.9594 -6.4916 -1.8969
N -5.7751 -0.9856 -2.3799
N -1.9930 -7.7088 -2.8184
N 0.4388 -6.6312 -3.4943
N -8.2271 -2.0689 -1.7919
N 2.2165 -2.8541 -4.5430
N -0.4289 -1.6941 -4.0083
N -2.8159 -4.9983 -3.9720
N -5.4614 -3.8384 -3.4373
N 4.9822 -4.6236 -6.1884
N -3.6836 -0.0613 -4.4860
N -1.2519 1.0163 -5.1619
N 2.5302 -5.7069 -5.6004
N 1.7145 -0.2009 -6.0833
N -0.5741 -4.5282 -5.2779
N -6.7890 0.0478 -4.5836
N -9.2613 -0.9606 -3.9493
N 3.4760 -1.8205 -7.1906
N -2.6867 -3.0066 -5.6949
N -5.6844 -2.4039 -5.7663
N -3.5899 -6.7113 -5.9716
N 1.0883 -3.4771 -7.6202
N -0.7722 -1.4822 -7.3200
N 1.5118 1.1587 -8.4586
N -1.3886 -6.1719 -7.3190
N -1.7898 1.3687 -8.0283
N -5.4741 1.6499 -7.1978
N -3.6047 3.4132 -7.7883
N -3.6794 -0.4003 -7.5257
N 3.3392 -0.4057 -9.5381
N -3.5468 -4.6999 -7.6759
W 0.0000 0.0000 0.0000
W 3.6246 -4.0351 -0.5752
W -4.8743 -2.1000 1.2577
W -1.2497 -6.1352 0.6825
W -0.3727 2.7889 -4.6727
W 3.2519 -1.2462 -5.2479
W -5.2470 0.6889 -3.4149
W -1.6224 -3.3462 -3.9901
Zr -1.9366 -2.8954 -0.5125
Zr -4.6862 -5.4792 0.2870
Zr 1.3135 -2.1569 -2.4533
Zr 0.0638 -8.2921 -1.7708
Zr 3.9388 -4.4860 -4.0529
Zr -1.8106 0.0329 -3.0194
Zr -1.4343 -6.7254 -4.9608
Zr -7.1836 -2.2065 -3.9274
Zr -3.3087 1.5996 -6.2095
Zr -4.5584 -4.5356 -5.5270
Zr 1.4413 -1.2133 -8.2673
Zr -1.3083 -3.7971 -7.4678
```

The space group is Ia-3d (230).


Record 7
Here is an optimized crystal structure of Y2HfN3 from OQMD via LeMat-Bulk. Energies are from PBE-GGA.

Cell and atoms, written as extended XYZ:
```
6
Lattice="-0.2807 3.2658 -0.6728 -2.4336 -2.1102 -0.9065 -3.7491 1.1835 7.3094" Properties=species:S:1:pos:R:3 pbc="T T T"
Hf -1.8746 0.5918 3.6547
N 0.0000 0.0000 0.0000
N -3.0402 0.0998 1.7533
N -3.4232 2.2393 3.9768
Y -1.6321 1.6739 0.4849
Y -4.8313 0.6652 5.2452
```

The space group is P-3m1 (164).


Record 8
Here is an optimized crystal structure of Y2Hf4Zn3N3 from OQMD via LeMat-Bulk. Energies are from PBE-GGA.

Cell and atoms, written as extended XYZ:
```
24
Lattice="-3.7244 3.6873 -2.1613 -1.1052 -0.0268 -5.5602 -8.7948 -10.5579 4.7594" Properties=species:S:1:pos:R:3 pbc="T T T"
Hf -1.0139 -0.8063 -0.7729
Hf -4.2468 1.6633 -5.8546
Hf -4.5575 -3.8811 -0.0357
Hf -7.7306 -1.4962 -5.1949
Hf -5.8937 -5.4013 2.2329
Hf -9.0668 -3.0164 -2.9264
Hf -9.3776 -8.5607 2.8925
Hf -12.6104 -6.0912 -2.1892
N -0.5526 -0.0134 -2.7801
N -2.1588 1.1934 -5.3844
N -5.7321 -4.7065 -1.6912
N -6.2596 -3.4353 1.2991
N -7.8922 -2.1910 -1.2709
N -11.4655 -8.0909 2.4224
Y -2.9956 0.1585 -3.2642
Y -5.7987 -2.3905 -2.6389
Y -7.8256 -4.5070 -0.3231
Y -10.6287 -7.0560 0.3022
Zn -3.8502 -1.1061 -0.2851
Zn -5.7447 0.7949 -1.2029
Zn -6.1912 0.6425 -3.9998
Zn -7.4331 -7.5400 1.0378
Zn -7.8796 -7.6923 -1.7592
Zn -9.7741 -5.7913 -2.6770
```

The space group is C2/c (15).


no.,total magnetization (μB per formula unit),electronic total energy (Ry per atom)
1,0.0,-0.61389
2,0.0,-0.61779
3,0.0,-0.73797
4,0.0,-0.76547
5,0.0,-0.63903
6,0.0,-0.73087
7,0.0,-0.71463
8,0.0,-0.57540